# 1
First-principles (GGA-PBE) data for LuPaGe after structural relaxation, as listed in Alexandria via LeMat-Bulk.

The density of states at the Fermi level is 1.766 states/eV/atom. For the formation energy, the calculation gives -0.039 eV per atom.

It has space group P3m1 (No. 156), with a = 4.9151 Å, b = 4.9151 Å, c = 3.4520 Å, α = 90.00°, β = 90.00° and γ = 120.00°. The distinct sites, in fractional coordinates, are Lu at (0.0000, 0.0000, 0.0000), Pa at (0.6667, 0.3333, 0.4846) and Ge at (0.3333, 0.6667, 0.8097).

***

# 2
First-principles (GGA-PBE) data for RbTl2InBi after structural relaxation, as listed in Alexandria via LeMat-Bulk.

The density of states at the Fermi level is 0.417 states/eV/atom. For the formation energy, the calculation gives -0.119 eV per atom.

It has space group Imm2 (No. 44), with a = 4.868 Å, b = 5.140 Å, c = 14.956 Å, α = 90.00°, β = 90.00° and γ = 90.00°. The distinct sites, in fractional coordinates, are Rb at (0.000, 0.000, 0.000), Tl at (0.000, 0.000, 0.618), Tl at (0.000, 0.500, 0.258), In at (0.000, 0.500, 0.755) and Bi at (0.000, 0.000, 0.391).

***

# 3
First-principles (GGA-PBE) data for TmAgHgPt after structural relaxation, as listed in Alexandria via LeMat-Bulk.

The density of states at the Fermi level is 0.475 states/eV/atom. For the formation energy, the calculation gives -0.529 eV per atom.

It has space group F-43m (No. 216), with a = 6.834 Å, b = 6.834 Å, c = 6.834 Å, α = 90.00°, β = 90.00° and γ = 90.00°. The distinct sites, in fractional coordinates, are Tm at (0.000, 0.000, 0.000), Ag at (0.250, 0.250, 0.250), Hg at (0.000, 0.000, 0.500) and Pt at (0.250, 0.250, 0.750).